Compound: VZnRe
Source: Alexandria via LeMat-Bulk
Functional: PBE
Structure: relaxed

Cell and atoms, written as extended XYZ:
```
3
Lattice="4.319 0.000 0.000 -2.160 3.740 0.000 0.000 0.000 2.621" Properties=species:S:1:pos:R:3 pbc="T T T"
V 0.000 0.000 0.000
Zn 2.160 1.247 0.890
Re 0.000 2.494 1.896
```

Properties
E (eV per atom): -7.6757
E above lowest polymorph (eV/atom): 0.0000
Volume (Å³/cell): 42.3